No. 1
First-principles (GGA-PBE) data for an optimized crystal structure of GdErSiHg, as listed in Alexandria.

Its density of states at the Fermi level is 3.1 states/eV/f.u. The uncorrected formation energy comes out at -0.464 eV per atom.

It has space group F-43m (No. 216), with a = 7.240 Å, b = 7.240 Å, c = 7.240 Å, α = 90.00°, β = 90.00° and γ = 90.00°. The asymmetric unit holds Gd at (0.000, 0.000, 0.000), Er at (0.000, 0.000, 0.500), Si at (0.250, 0.250, 0.250) and Hg at (0.250, 0.250, 0.750).



No. 2
First-principles (GGA-PBE) data for an optimized crystal structure of HoAl3CuPt, as listed in Alexandria.

Its density of states at the Fermi level is 2.1 states/eV/f.u. The energy relative to the elements is -506 meV per atom.

It has space group Cmcm (No. 63), with a = 6.247 Å, b = 12.110 Å, c = 5.728 Å, α = 90.00°, β = 90.00° and γ = 90.00°. The asymmetric unit holds Ho at (0.000, 0.216, 0.250), Al at (0.000, 0.354, 0.750), Al at (0.210, 0.000, 0.000), Cu at (0.000, 0.436, 0.250) and Pt at (0.000, 0.144, 0.750).



No. 3
First-principles (GGA-PBE) data for an optimized crystal structure of GaAsOs2, as listed in Alexandria.

Its density of states at the Fermi level is 1.2 states/eV/f.u. The energy relative to the elements is 217 meV per atom. The energy relative to the lowest polymorph listed for this composition is 0 meV per atom.

It has space group Fm-3m (No. 225), with a = 6.120 Å, b = 6.120 Å, c = 6.120 Å, α = 90.00°, β = 90.00° and γ = 90.00°. The asymmetric unit holds Ga at (0.000, 0.000, 0.000), As at (0.000, 0.000, 0.500) and Os at (0.250, 0.250, 0.250).



Number 1: DFT total energy -104.89 eV per cell. Number 2: DFT total energy -115.92 eV per cell. Number 3: DFT total energy -117.07 eV per cell.